# GGA+U V2P3O10, optimized geometry
# Energy = -7.524 eV per atom
data_V2P3O10
_space_group_name_H-M_alt 'P 1 21/m 1'
_space_group_IT_number 11
_cell_length_a 4.802
_cell_length_b 8.470
_cell_length_c 9.044
_cell_angle_alpha 90.00
_cell_angle_beta 98.35
_cell_angle_gamma 90.00
loop_
_space_group_symop_operation_xyz
'x,y,z'
'-x,-y,-z'
'-x,y+1/2,-z'
'x,-y+1/2,z'
loop_
_atom_site_label
_atom_site_fract_x
_atom_site_fract_y
_atom_site_fract_z
V1 0.040 0.077 0.333
P1 0.330 0.250 0.813
P2 0.392 0.750 0.456
P3 0.462 0.250 0.146
O1 0.168 0.099 0.785
O2 0.225 0.750 0.774
O3 0.230 0.599 0.487
O4 0.305 0.250 0.458
O5 0.313 0.098 0.177
O6 0.410 0.750 0.283
O7 0.487 0.750 0.027